5
Lattice="5.115 0.000 0.000 0.000 5.115 0.000 0.000 0.000 3.810" Properties=species:S:1:pos:R:3 comment="PBE-GGA AgWSe2N, relaxed" rho_g_cm3=7.72 e_form_raw_mev_per_atom=1834 spacegroup=P4/mmm energy_ev_per_cell=-21.9 crystal_system=tetragonal volume_a3_per_cell=100 de_polymorph_ev_per_atom=1.578 pbc="T T T"
Se 0.000 2.557 0.000
Se 2.557 0.000 0.000
Ag 0.000 0.000 0.000
W 2.557 2.557 1.905
N 0.000 0.000 1.905